[1]
A plane-wave DFT calculation with PBE-GGA was carried out for a relaxed Ba2Be2Tc crystal.

## Properties
energy relative to the elements: 0.835 eV/atom
DOS at the Fermi energy: 13.2 states/eV per cell
density: 5395 kg/m³
energy: -0.1286 hartree per atom
excess energy over the best structure of this formula in the dataset: 0.000 eV per atom

Unit cell a=6.7347 b=6.7347 c=5.3020 alpha=90.00 beta=90.00 gamma=90.00
Space group P4/mbm (No. 127)
Asymmetric unit:
Ba  0.1767  0.3233  0.0000 (multiplicity 4)
Be  0.1771  0.6771  0.5000 (multiplicity 4)
Tc  0.0000  0.0000  0.5000 (multiplicity 2)


[2]
A plane-wave DFT calculation with PBE-GGA was carried out for a relaxed Dy2AsRu crystal.

## Properties
energy relative to the elements: -0.716 eV/atom
DOS at the Fermi energy: 3.0 states/eV per cell
density: 9810 kg/m³
energy: -0.2388 hartree per atom

Unit cell a=3.5469 b=3.5469 c=6.7411 alpha=90.00 beta=90.00 gamma=90.00
Space group P4/mmm (No. 123)
Asymmetric unit:
Dy  0.0000  0.0000  0.2448 (multiplicity 2)
As  0.5000  0.5000  0.5000 (multiplicity 1)
Ru  0.5000  0.5000  0.0000 (multiplicity 1)


[3]
A plane-wave DFT calculation with PBE-GGA was carried out for a relaxed SbPb2Se crystal.

## Properties
energy relative to the elements, uncorrected: 12 kJ/mol of formula units
DOS at the Fermi energy: 5.1 states/eV per cell
density: 9004 kg/m³
energy: -0.1369 hartree per atom
excess energy over the best structure of this formula in the dataset: 0.240 eV per atom

Unit cell a=11.9414 b=3.8203 c=5.5576 alpha=90.00 beta=116.51 gamma=90.00
Space group C2/m (No. 12)
Asymmetric unit:
Sb  0.0000  0.0000  0.0000 (multiplicity 2)
Pb  0.2285  0.0000  0.7282 (multiplicity 4)
Se  0.0000  0.5000  0.5000 (multiplicity 2)


[4]
A plane-wave DFT calculation with PBE-GGA was carried out for a relaxed ErH3Pt3 crystal.

## Properties
DOS at the Fermi energy: 8.0 states/eV per cell
density: 15480 kg/m³
energy: -0.1928 hartree per atom

Unit cell a=6.3113 b=6.3113 c=4.6990 alpha=90.00 beta=90.00 gamma=120.00
Space group P6_3/mmc (No. 194)
Asymmetric unit:
Er  0.3333  0.6667  0.2500 (multiplicity 2)
H  0.1059  0.5530  0.7500 (multiplicity 6)
Pt  0.1466  0.2932  0.7500 (multiplicity 6)


[5]
A plane-wave DFT calculation with PBE-GGA was carried out for a relaxed YTePdO6 crystal.

## Properties
energy relative to the elements, uncorrected: -1324 kJ/mol of formula units
DOS at the Fermi energy: 9.3 states/eV per cell
density: 5831 kg/m³
energy: -0.2379 hartree per atom

Unit cell a=5.3104 b=5.3104 c=9.7692 alpha=90.00 beta=90.00 gamma=120.00
Space group P-31c (No. 163)
Asymmetric unit:
Y  0.0000  0.0000  0.0000 (multiplicity 2)
Te  0.3333  0.6667  0.2500 (multiplicity 2)
Pd  0.3333  0.6667  0.7500 (multiplicity 2)
O  0.0232  0.3674  0.1371 (multiplicity 12)


[6]
A plane-wave DFT calculation with PBE-GGA was carried out for a relaxed MnInAu2 crystal.

## Properties
energy relative to the elements: -0.089 eV/atom
DOS at the Fermi energy: 1.3 states/eV per cell
density: 12559 kg/m³
energy: -0.1729 hartree per atom

Unit cell a=3.3676 b=3.2804 c=6.7472 alpha=90.00 beta=90.87 gamma=90.00
Space group P2/m (No. 10)
Asymmetric unit:
Mn  0.0000  0.0000  0.0000 (multiplicity 1)
In  0.0000  0.0000  0.5000 (multiplicity 1)
Au  0.4930  0.5000  0.7789 (multiplicity 2)


[7]
A plane-wave DFT calculation with PBE-GGA was carried out for a relaxed CsBaTa crystal.

## Properties
energy relative to the elements: 0.657 eV/atom
DOS at the Fermi energy: 7.2 states/eV per cell
density: 4713 kg/m³
energy: -0.1551 hartree per atom
excess energy over the best structure of this formula in the dataset: 0.131 eV per atom

Unit cell a=3.8387 b=4.8833 c=18.4506 alpha=88.06 beta=88.52 gamma=66.91
Space group P1 (No. 1)
Asymmetric unit:
Cs  0.0000  0.0000  0.0000 (multiplicity 1)
Cs  0.3173  0.4474  0.2473 (multiplicity 1)
Ba  0.6112  0.8917  0.4808 (multiplicity 1)
Ba  0.7430  0.5540  0.7667 (multiplicity 1)
Ta  0.0355  0.0045  0.6373 (multiplicity 1)
Ta  0.3189  0.4408  0.6102 (multiplicity 1)


[8]
A plane-wave DFT calculation with PBE-GGA was carried out for a relaxed PuCd6Hg12 crystal.

## Properties
energy relative to the elements: -0.002 eV/atom
DOS at the Fermi energy: 57.5 states/eV per cell
density: 11729 kg/m³
energy: -0.0454 hartree per atom
excess energy over the best structure of this formula in the dataset: 0.000 eV per atom

Unit cell a=14.4446 b=14.4446 c=7.8164 alpha=90.00 beta=90.00 gamma=120.00
Space group R-3 (No. 148, hexagonal axes)
Asymmetric unit:
Pu  0.0000  0.0000  0.0000 (multiplicity 3)
Cd  0.0411  0.2785  0.3198 (multiplicity 18)
Hg  0.0272  0.1477  0.6628 (multiplicity 18)
Hg  0.0710  0.5813  0.6767 (multiplicity 18)


[9]
A plane-wave DFT calculation with PBE-GGA was carried out for a relaxed Na2SmTe4As crystal.

## Properties
energy relative to the elements, uncorrected: -623 kJ/mol of formula units
density: 5151 kg/m³
energy: -0.1425 hartree per atom

Unit cell a=7.6584 b=4.3721 c=7.9319 alpha=90.00 beta=108.42 gamma=90.00
Space group P2/m (No. 10)
Asymmetric unit:
Na  0.0000  0.0000  0.0000 (multiplicity 1)
Na  0.5000  0.5000  0.0000 (multiplicity 1)
Sm  0.0000  0.5000  0.5000 (multiplicity 1)
Te  0.2607  0.0000  0.7292 (multiplicity 2)
Te  0.2776  0.5000  0.2808 (multiplicity 2)
As  0.5000  0.0000  0.5000 (multiplicity 1)


[10]
A plane-wave DFT calculation with PBE-GGA was carried out for a relaxed CrAs2 crystal.

## Properties
energy relative to the elements: 0.044 eV/atom
DOS at the Fermi energy: 7.6 states/eV per cell
density: 7280 kg/m³
energy: -0.2302 hartree per atom

Unit cell a=6.9980 b=6.9980 c=3.2565 alpha=90.00 beta=90.00 gamma=120.00
Space group P-62m (No. 189)
Asymmetric unit:
Cr  0.0000  0.0000  0.0000 (multiplicity 1)
Cr  0.3333  0.6667  0.5000 (multiplicity 2)
As  0.0000  0.2717  0.5000 (multiplicity 3)
As  0.0000  0.6163  0.0000 (multiplicity 3)


[11]
A plane-wave DFT calculation with PBE-GGA was carried out for a relaxed Pr2CdIr2Rh5 crystal.

## Properties
energy relative to the elements: -0.255 eV/atom
DOS at the Fermi energy: 22.6 states/eV per cell
density: 11453 kg/m³
energy: -0.2481 hartree per atom

Unit cell a=9.5646 b=9.5646 c=4.0992 alpha=90.00 beta=90.00 gamma=90.00
Space group P4/mbm (No. 127)
Asymmetric unit:
Pr  0.1690  0.3310  0.0000 (multiplicity 4)
Cd  0.0000  0.0000  0.0000 (multiplicity 2)
Ir  0.1289  0.6289  0.0000 (multiplicity 4)
Rh  0.0000  0.5000  0.5000 (multiplicity 2)
Rh  0.0691  0.7910  0.5000 (multiplicity 8)


[12]
A plane-wave DFT calculation with PBE-GGA was carried out for a relaxed YZnGa2 crystal.

## Properties
energy relative to the elements: -0.465 eV/atom
DOS at the Fermi energy: 1.8 states/eV per cell
density: 6337 kg/m³
energy: -0.1438 hartree per atom

Unit cell a=4.2693 b=4.2693 c=4.2236 alpha=90.00 beta=90.00 gamma=90.00
Space group P4/mmm (No. 123)
Asymmetric unit:
Y  0.0000  0.0000  0.0000 (multiplicity 1)
Zn  0.5000  0.5000  0.0000 (multiplicity 1)
Ga  0.0000  0.5000  0.5000 (multiplicity 2)


[13]
A plane-wave DFT calculation with PBE-GGA was carried out for a relaxed ThSCl crystal.

## Properties
energy relative to the elements, uncorrected: -513 kJ/mol of formula units
DOS at the Fermi energy: 3.6 states/eV per cell
density: 5969 kg/m³
energy: -0.2292 hartree per atom

Unit cell a=3.5290 b=3.5290 c=13.3825 alpha=90.00 beta=90.00 gamma=90.00
Space group I4mm (No. 107)
Asymmetric unit:
Th  0.0000  0.0000  0.0000 (multiplicity 2)
S  0.0000  0.0000  0.3959 (multiplicity 2)
Cl  0.0000  0.0000  0.6340 (multiplicity 2)


[14]
A plane-wave DFT calculation with PBE-GGA was carried out for a relaxed KNpBi2 crystal.

## Properties
energy relative to the elements: 0.041 eV/atom
DOS at the Fermi energy: 33.4 states/eV per cell
density: 7317 kg/m³
energy: -0.1988 hartree per atom
excess energy over the best structure of this formula in the dataset: 0.205 eV per atom

Unit cell a=4.6445 b=4.6445 c=25.2931 alpha=90.00 beta=90.00 gamma=120.00
Space group R3m (No. 160, hexagonal axes)
Asymmetric unit:
K  0.0000  0.0000  0.0000 (multiplicity 3)
Np  0.0000  0.0000  0.1701 (multiplicity 3)
Bi  0.0000  0.0000  0.5685 (multiplicity 3)
Bi  0.0000  0.0000  0.7705 (multiplicity 3)


[15]
A plane-wave DFT calculation with PBE-GGA was carried out for a relaxed KSbTe crystal.

## Properties
energy relative to the elements, uncorrected: -78 kJ/mol of formula units
DOS at the Fermi energy: 3.3 states/eV per cell
density: 4272 kg/m³
energy: -0.1123 hartree per atom
excess energy over the best structure of this formula in the dataset: 0.189 eV per atom

Unit cell a=3.3175 b=5.8280 c=11.5977 alpha=90.00 beta=90.00 gamma=90.00
Space group Imm2 (No. 44)
Asymmetric unit:
K  0.0000  0.0000  0.0000 (multiplicity 2)
Sb  0.0000  0.0000  0.3715 (multiplicity 2)
Te  0.0000  0.0000  0.6161 (multiplicity 2)


[16]
A plane-wave DFT calculation with PBE-GGA was carried out for a relaxed K2CeH2O2 crystal.

## Properties
DOS at the Fermi energy: 0.0 states/eV per cell
density: 3063 kg/m³
energy: -0.1867 hartree per atom

Unit cell a=4.3883 b=4.3883 c=14.2059 alpha=90.00 beta=90.00 gamma=90.00
Space group I4/mmm (No. 139)
Asymmetric unit:
K  0.0000  0.0000  0.1448 (multiplicity 4)
Ce  0.0000  0.0000  0.5000 (multiplicity 2)
H  0.0000  0.0000  0.3352 (multiplicity 4)
O  0.0000  0.5000  0.0000 (multiplicity 4)


[17]
A plane-wave DFT calculation with PBE-GGA was carried out for a relaxed Ti6FeCo crystal.

## Properties
energy relative to the elements: 0.114 eV/atom
DOS at the Fermi energy: 19.7 states/eV per cell
density: 5209 kg/m³
energy: -0.2849 hartree per atom
excess energy over the best structure of this formula in the dataset: 0.291 eV per atom

Unit cell a=5.5288 b=9.4434 c=5.5410 alpha=90.00 beta=117.65 gamma=90.00
Space group C2/m (No. 12)
Asymmetric unit:
Ti  0.2476  0.2023  0.2519 (multiplicity 8)
Ti  0.2493  0.5000  0.2489 (multiplicity 4)
Fe  0.0000  0.5000  0.5000 (multiplicity 2)
Co  0.0000  0.0000  0.0000 (multiplicity 2)


[18]
A plane-wave DFT calculation with PBE-GGA was carried out for a relaxed Ga12Sn6Hg crystal.

## Properties
energy relative to the elements: 0.086 eV/atom
DOS at the Fermi energy: 19.0 states/eV per cell
density: 6397 kg/m³
energy: -0.1141 hartree per atom

Unit cell a=13.2538 b=13.2538 c=8.9564 alpha=90.00 beta=90.00 gamma=120.00
Space group R-3m (No. 166, hexagonal axes)
Asymmetric unit:
Ga  0.0000  0.3932  0.0000 (multiplicity 18)
Ga  0.0731  0.1462  0.7722 (multiplicity 18)
Sn  0.0491  0.5246  0.7191 (multiplicity 18)
Hg  0.0000  0.0000  0.5000 (multiplicity 3)


[19]
A plane-wave DFT calculation with PBE-GGA was carried out for a relaxed CrMoP2 crystal.

## Properties
energy relative to the elements: 0.129 eV/atom
DOS at the Fermi energy: 6.9 states/eV per cell
density: 5294 kg/m³
energy: -0.2826 hartree per atom
excess energy over the best structure of this formula in the dataset: 0.658 eV per atom

Unit cell a=3.3166 b=4.2954 c=9.2429 alpha=90.00 beta=90.00 gamma=90.00
Space group Cmm2 (No. 35)
Asymmetric unit:
Cr  0.0000  0.0000  0.0000 (multiplicity 2)
Mo  0.0000  0.5000  0.7754 (multiplicity 2)
P  0.0000  0.0000  0.5746 (multiplicity 2)
P  0.0000  0.5000  0.1751 (multiplicity 2)